First-principles (PBE) data for a relaxed MnZn6 crystal, as listed in the Alexandria database.

Lattice parameters (Å, degrees): 5.9701 5.9701 5.9701 109.47 109.47 109.47
Element x y z (fractional)
Mn: 0.0000 0.0000 0.0000
Zn: 0.2500 0.5000 0.7500
Zn: 0.2500 0.7500 0.5000
Zn: 0.5000 0.2500 0.7500
Zn: 0.5000 0.7500 0.2500
Zn: 0.7500 0.2500 0.5000
Zn: 0.7500 0.5000 0.2500

Computed properties:
N(E_F), states/eV per cell: 3.96
Crystal system: cubic
E, eV per cell: -11.7
ΔE_f, eV per atom: 0.729
Symmetry: Im-3m
Size of the total moment, μB per cell: 4.2


First-principles (PBE) data for a relaxed Mn3Zn crystal, as listed in the Alexandria database.

Lattice parameters (Å, degrees): 4.8061 4.8061 4.8061 146.17 128.58 62.98
Element x y z (fractional)
Mn: 0.0000 0.0000 0.0000
Mn: 0.2373 0.7373 0.5000
Mn: 0.7627 0.2627 0.5000
Zn: 0.5000 0.5000 0.0000

Computed properties:
N(E_F), states/eV per cell: 3.09
Crystal system: orthorhombic
E, eV per cell: -28.2
ΔE_f, eV per atom: 0.140
Symmetry: Immm
Size of the total moment, μB per cell: 0.5


First-principles (PBE) data for a relaxed MnZn3 crystal, as listed in the Alexandria database.

Lattice parameters (Å, degrees): 5.1905 5.1905 5.1905 150.14 63.97 124.86
Element x y z (fractional)
Mn: 0.0000 0.0000 0.0000
Zn: 0.0704 0.3240 0.7464
Zn: 0.4984 0.9984 0.5000
Zn: 0.5777 0.3240 0.2536

Computed properties:
N(E_F), states/eV per cell: 2.40
Crystal system: orthorhombic
E, eV per cell: -12.8
ΔE_f, eV per atom: 0.046
Symmetry: Imm2
Size of the total moment, μB per cell: 2.9


First-principles (PBE) data for a relaxed Mn3Zn crystal, as listed in the Alexandria database.

Lattice parameters (Å, degrees): 2.6203 3.5476 5.3134 90.00 90.00 90.00
Element x y z (fractional)
Mn: 0.0000 0.0000 0.0000
Mn: 0.5000 0.5000 0.2429
Mn: 0.5000 0.5000 0.7571
Zn: 0.0000 0.0000 0.5000

Computed properties:
N(E_F), states/eV per cell: 3.64
Crystal system: orthorhombic
E, eV per cell: -28.5
ΔE_f, eV per atom: 0.073
Symmetry: Pmmm
Size of the total moment, μB per cell: 2.0


First-principles (PBE) data for a relaxed Mn5Zn crystal, as listed in the Alexandria database.

Lattice parameters (Å, degrees): 4.0917 6.6744 6.6744 21.97 90.00 90.00
Element x y z (fractional)
Mn: 0.0000 0.0000 0.0000
Mn: 0.0000 0.3237 0.3237
Mn: 0.0000 0.6647 0.6647
Mn: 0.5000 0.1102 0.1102
Mn: 0.5000 0.7657 0.7657
Zn: 0.5000 0.4385 0.4385

Computed properties:
N(E_F), states/eV per cell: 5.62
Crystal system: orthorhombic
E, eV per cell: -46.4
ΔE_f, eV per atom: 0.127
Symmetry: Amm2
Size of the total moment, μB per cell: 1.1


First-principles (PBE) data for a relaxed Mn2Zn3 crystal, as listed in the Alexandria database.

Lattice parameters (Å, degrees): 11.1511 11.1511 11.1511 13.83 13.83 13.83
Element x y z (fractional)
Mn: 0.1010 0.1010 0.1010
Mn: 0.8990 0.8990 0.8990
Zn: 0.2974 0.2974 0.2974
Zn: 0.5000 0.5000 0.5000
Zn: 0.7026 0.7026 0.7026

Computed properties:
N(E_F), states/eV per cell: 2.84
Crystal system: trigonal
E, eV per cell: -21.5
ΔE_f, eV per atom: 0.135
Symmetry: R-3m
Size of the total moment, μB per cell: 5.4


First-principles (PBE) data for a relaxed MnZn5 crystal, as listed in the Alexandria database.

Lattice parameters (Å, degrees): 2.8150 2.8150 10.9490 90.00 90.00 90.00
Element x y z (fractional)
Mn: 0.0000 0.0000 0.0000
Zn: 0.0000 0.0000 0.3308
Zn: 0.0000 0.0000 0.6692
Zn: 0.5000 0.5000 0.1590
Zn: 0.5000 0.5000 0.5000
Zn: 0.5000 0.5000 0.8410

Computed properties:
N(E_F), states/eV per cell: 1.76
Crystal system: tetragonal
E, eV per cell: -15.3
ΔE_f, eV per atom: 0.034
Symmetry: P4/mmm
Size of the total moment, μB per cell: 3.0


First-principles (PBE) data for a relaxed Mn5Zn crystal, as listed in the Alexandria database.

Lattice parameters (Å, degrees): 5.0046 5.0046 3.8819 90.00 90.00 134.30
Element x y z (fractional)
Mn: 0.0000 0.0000 0.0000
Mn: 0.1814 0.8186 0.5000
Mn: 0.3203 0.6797 0.0000
Mn: 0.6797 0.3203 0.0000
Mn: 0.8186 0.1814 0.5000
Zn: 0.5000 0.5000 0.5000

Computed properties:
N(E_F), states/eV per cell: 4.75
Crystal system: orthorhombic
E, eV per cell: -46.5
ΔE_f, eV per atom: 0.103
Symmetry: Cmmm
Size of the total moment, μB per cell: 3.0


First-principles (PBE) data for a relaxed Mn3Zn7 crystal, as listed in the Alexandria database.

Lattice parameters (Å, degrees): 7.1716 7.1716 5.3727 102.45 102.45 31.27
Element x y z (fractional)
Mn: 0.0000 0.0000 0.0000
Mn: 0.1990 0.1990 0.6054
Mn: 0.8010 0.8010 0.3946
Zn: 0.0000 0.0000 0.5000
Zn: 0.1997 0.1997 0.1123
Zn: 0.3981 0.3981 0.1905
Zn: 0.3981 0.3981 0.6918
Zn: 0.6019 0.6019 0.3082
Zn: 0.6019 0.6019 0.8095
Zn: 0.8003 0.8003 0.8877

Computed properties:
N(E_F), states/eV per cell: 5.82
Crystal system: monoclinic
E, eV per cell: -36.3
ΔE_f, eV per atom: 0.015
Symmetry: C2/m
Size of the total moment, μB per cell: 9.0


First-principles (PBE) data for a relaxed Mn5Zn3 crystal, as listed in the Alexandria database.

Lattice parameters (Å, degrees): 5.2620 5.2620 3.7632 90.00 90.00 93.12
Element x y z (fractional)
Mn: 0.0000 0.0000 0.0000
Mn: 0.0000 0.5000 0.0000
Mn: 0.2392 0.2392 0.5000
Mn: 0.5000 0.0000 0.0000
Mn: 0.7608 0.7608 0.5000
Zn: 0.2541 0.7459 0.5000
Zn: 0.5000 0.5000 0.0000
Zn: 0.7459 0.2541 0.5000

Computed properties:
N(E_F), states/eV per cell: 7.37
Crystal system: orthorhombic
E, eV per cell: -48.9
ΔE_f, eV per atom: 0.091
Symmetry: Cmmm
Size of the total moment, μB per cell: 7.2


First-principles (PBE) data for a relaxed Mn7Zn6 crystal, as listed in the Alexandria database.

Lattice parameters (Å, degrees): 9.0378 9.0378 9.0378 30.19 30.19 30.19
Element x y z (fractional)
Mn: 0.0000 0.0000 0.0000
Mn: 0.0927 0.0927 0.5834
Mn: 0.0927 0.5834 0.0927
Mn: 0.4166 0.9073 0.9073
Mn: 0.5834 0.0927 0.0927
Mn: 0.9073 0.4166 0.9073
Mn: 0.9073 0.9073 0.4166
Zn: 0.1655 0.1655 0.1655
Zn: 0.3484 0.3484 0.3484
Zn: 0.4488 0.4488 0.4488
Zn: 0.5512 0.5512 0.5512
Zn: 0.6516 0.6516 0.6516
Zn: 0.8345 0.8345 0.8345

Computed properties:
N(E_F), states/eV per cell: 10.75
Crystal system: trigonal
E, eV per cell: -69.2
ΔE_f, eV per atom: 0.205
Symmetry: R-3m
Size of the total moment, μB per cell: 2.0


First-principles (PBE) data for a relaxed MnZn6 crystal, as listed in the Alexandria database.

Lattice parameters (Å, degrees): 7.2376 7.2376 7.2376 34.19 34.19 34.19
Element x y z (fractional)
Mn: 0.0000 0.0000 0.0000
Zn: 0.1294 0.1294 0.1294
Zn: 0.2545 0.2545 0.2545
Zn: 0.3842 0.3842 0.3842
Zn: 0.6158 0.6158 0.6158
Zn: 0.7455 0.7455 0.7455
Zn: 0.8706 0.8706 0.8706

Computed properties:
N(E_F), states/eV per cell: 2.43
Crystal system: trigonal
E, eV per cell: -16.7
ΔE_f, eV per atom: 0.022
Symmetry: R-3m
Size of the total moment, μB per cell: 2.9


First-principles (PBE) data for a relaxed Mn8Zn crystal, as listed in the Alexandria database.

Lattice parameters (Å, degrees): 5.5850 5.5850 5.5850 95.87 95.87 142.71
Element x y z (fractional)
Mn: 0.0000 0.3421 0.3421
Mn: 0.0000 0.6579 0.6579
Mn: 0.3241 0.3241 0.6482
Mn: 0.3241 0.6759 0.0000
Mn: 0.3421 0.0000 0.3421
Mn: 0.6579 0.0000 0.6579
Mn: 0.6759 0.3241 0.0000
Mn: 0.6759 0.6759 0.3518
Zn: 0.0000 0.0000 0.0000

Computed properties:
N(E_F), states/eV per cell: 11.09
Crystal system: tetragonal
E, eV per cell: -73.4
ΔE_f, eV per atom: 0.138
Symmetry: I4/mmm
Size of the total moment, μB per cell: 0.0


First-principles (PBE) data for a relaxed Mn3Zn11 crystal, as listed in the Alexandria database.

Lattice parameters (Å, degrees): 8.8846 8.8846 8.8846 162.37 95.50 87.20
Element x y z (fractional)
Mn: 0.0000 0.0000 0.0000
Mn: 0.3183 0.3183 0.0000
Mn: 0.6817 0.6817 0.0000
Zn: 0.0635 0.6692 0.3943
Zn: 0.1749 0.8590 0.3159
Zn: 0.2051 0.5000 0.7051
Zn: 0.2749 0.6692 0.6057
Zn: 0.4569 0.1410 0.3159
Zn: 0.5000 0.0000 0.5000
Zn: 0.5431 0.8590 0.6841
Zn: 0.7251 0.3308 0.3943
Zn: 0.7949 0.5000 0.2949
Zn: 0.8251 0.1410 0.6841
Zn: 0.9365 0.3308 0.6057

Computed properties:
N(E_F), states/eV per cell: 7.40
Crystal system: orthorhombic
E, eV per cell: -40.9
ΔE_f, eV per atom: 0.044
Symmetry: Immm
Size of the total moment, μB per cell: 9.2


First-principles (PBE) data for a relaxed Mn3Zn crystal, as listed in the Alexandria database.

Lattice parameters (Å, degrees): 4.3518 4.3518 2.7538 90.00 90.00 90.00
Element x y z (fractional)
Mn: 0.0000 0.0000 0.0000
Mn: 0.0000 0.5000 0.5000
Mn: 0.5000 0.0000 0.5000
Zn: 0.5000 0.5000 0.0000

Computed properties:
N(E_F), states/eV per cell: 5.01
Crystal system: tetragonal
E, eV per cell: -28.1
ΔE_f, eV per atom: 0.167
Symmetry: P4/mmm
Size of the total moment, μB per cell: 4.0


First-principles (PBE) data for a relaxed Mn3Zn crystal, as listed in the Alexandria database.

Lattice parameters (Å, degrees): 8.5001 8.5001 8.5001 17.16 17.16 17.16
Element x y z (fractional)
Mn: 0.0000 0.0000 0.0000
Mn: 0.2551 0.2551 0.2551
Mn: 0.7449 0.7449 0.7449
Zn: 0.5000 0.5000 0.5000

Computed properties:
N(E_F), states/eV per cell: 4.09
Crystal system: trigonal
E, eV per cell: -28.3
ΔE_f, eV per atom: 0.121
Symmetry: R-3m
Size of the total moment, μB per cell: 1.0


First-principles (PBE) data for a relaxed MnZn3 crystal, as listed in the Alexandria database.

Lattice parameters (Å, degrees): 2.7793 2.7793 7.3154 90.00 90.00 90.00
Element x y z (fractional)
Mn: 0.0000 0.0000 0.0000
Zn: 0.0000 0.0000 0.5000
Zn: 0.5000 0.5000 0.2400
Zn: 0.5000 0.5000 0.7600

Computed properties:
N(E_F), states/eV per cell: 1.96
Crystal system: tetragonal
E, eV per cell: -12.9
ΔE_f, eV per atom: 0.026
Symmetry: P4/mmm
Size of the total moment, μB per cell: 2.8


First-principles (PBE) data for a relaxed MnZn3 crystal, as listed in the Alexandria database.

Lattice parameters (Å, degrees): 9.0244 9.0244 9.0244 17.42 17.42 17.42
Element x y z (fractional)
Mn: 0.0000 0.0000 0.0000
Zn: 0.2530 0.2530 0.2530
Zn: 0.5000 0.5000 0.5000
Zn: 0.7470 0.7470 0.7470

Computed properties:
N(E_F), states/eV per cell: 2.59
Crystal system: trigonal
E, eV per cell: -12.6
ΔE_f, eV per atom: 0.095
Symmetry: R-3m
Size of the total moment, μB per cell: 3.0


First-principles (PBE) data for a relaxed MnZn3 crystal, as listed in the Alexandria database.

Lattice parameters (Å, degrees): 2.6986 3.9291 5.4167 90.00 97.09 90.00
Element x y z (fractional)
Mn: 0.0000 0.0000 0.0000
Zn: 0.0000 0.0000 0.5000
Zn: 0.4601 0.5000 0.7587
Zn: 0.5399 0.5000 0.2413

Computed properties:
N(E_F), states/eV per cell: 2.01
Crystal system: monoclinic
E, eV per cell: -12.8
ΔE_f, eV per atom: 0.046
Symmetry: P2/m
Size of the total moment, μB per cell: 3.1


First-principles (PBE) data for a relaxed Mn5Zn crystal, as listed in the Alexandria database.

Lattice parameters (Å, degrees): 4.4166 4.4166 7.0689 113.59 113.59 33.52
Element x y z (fractional)
Mn: 0.0000 0.0000 0.0000
Mn: 0.0013 0.0013 0.5242
Mn: 0.3340 0.3340 0.6838
Mn: 0.6549 0.6549 0.8287
Mn: 0.6636 0.6636 0.3577
Zn: 0.3306 0.3306 0.1753

Computed properties:
N(E_F), states/eV per cell: 6.52
Crystal system: monoclinic
E, eV per cell: -46.4
ΔE_f, eV per atom: 0.126
Symmetry: Cm
Size of the total moment, μB per cell: 1.8